(1)
Density functional theory data (GGA-PBE) for a relaxed structure of Nd4DyRh4.

Results
Energy of formation from the pure elements in kJ per mole of atoms: -55.8
Calculated total energy in eV/atom: -6.4761

abc: 8.921 8.921 5.792
angles: 90.00 90.00 90.00
Element x y z (fractional)
Nd: 0.059 0.668 0.155
Nd: 0.168 0.941 0.655
Nd: 0.332 0.559 0.655
Nd: 0.441 0.832 0.155
Nd: 0.559 0.168 0.845
Nd: 0.668 0.441 0.345
Nd: 0.832 0.059 0.345
Nd: 0.941 0.332 0.845
Dy: 0.250 0.250 0.250
Dy: 0.750 0.750 0.750
Rh: 0.022 0.630 0.647
Rh: 0.130 0.978 0.147
Rh: 0.370 0.522 0.147
Rh: 0.478 0.870 0.647
Rh: 0.522 0.130 0.353
Rh: 0.630 0.478 0.853
Rh: 0.870 0.022 0.853
Rh: 0.978 0.370 0.353

(2)
Density functional theory data (GGA-PBE) for a relaxed structure of Nd2Dy2Rh3.

Results
Energy of formation from the pure elements in kJ per mole of atoms: -60.1
Calculated total energy in eV/atom: -6.4503

abc: 4.401 6.053 7.479
angles: 99.12 90.07 111.32
Element x y z (fractional)
Nd: 0.133 0.266 0.356
Nd: 0.867 0.734 0.644
Dy: 0.363 0.725 0.071
Dy: 0.637 0.275 0.929
Rh: 0.000 0.000 0.000
Rh: 0.195 0.391 0.735
Rh: 0.805 0.609 0.265

(3)
Density functional theory data (GGA-PBE) for a relaxed structure of NdDy3Rh2.

Results
Energy of formation from the pure elements in kJ per mole of atoms: -54.9
Calculated total energy in eV/atom: -6.1155

abc: 8.396 8.396 10.825
angles: 115.52 115.52 29.45
Element x y z (fractional)
Nd: 0.056 0.056 0.211
Nd: 0.944 0.944 0.789
Dy: 0.212 0.212 0.594
Dy: 0.330 0.330 0.971
Dy: 0.425 0.425 0.332
Dy: 0.575 0.575 0.668
Dy: 0.670 0.670 0.029
Dy: 0.788 0.788 0.406
Rh: 0.138 0.138 0.846
Rh: 0.382 0.382 0.579
Rh: 0.618 0.618 0.421
Rh: 0.862 0.862 0.154

(4)
Density functional theory data (GGA-PBE) for a relaxed structure of Nd2DyRh3.

Results
Energy of formation from the pure elements in kJ per mole of atoms: -51.4
Calculated total energy in eV/atom: -6.5652

abc: 6.920 6.920 6.920
angles: 145.09 131.09 61.50
Element x y z (fractional)
Nd: 0.169 0.169 0.000
Nd: 0.831 0.831 0.000
Dy: 0.500 0.500 0.000
Rh: 0.000 0.500 0.500
Rh: 0.345 0.845 0.500
Rh: 0.655 0.155 0.500

(5)
Density functional theory data (GGA-PBE) for a relaxed structure of Nd2DyRh2.

Results
Energy of formation from the pure elements in kJ per mole of atoms: -53.4
Calculated total energy in eV/atom: -6.3215

abc: 6.884 6.884 6.884
angles: 40.21 40.21 40.21
Element x y z (fractional)
Nd: 0.221 0.221 0.221
Nd: 0.779 0.779 0.779
Dy: 0.000 0.000 0.000
Rh: 0.384 0.384 0.384
Rh: 0.616 0.616 0.616

(6)
Density functional theory data (GGA-PBE) for a relaxed structure of Nd2Dy2Rh3.

Results
Energy of formation from the pure elements in kJ per mole of atoms: -67.2
Calculated total energy in eV/atom: -6.5244

abc: 7.556 7.556 7.556
angles: 109.47 109.47 109.47
Element x y z (fractional)
Nd: 0.000 0.127 0.500
Nd: 0.127 0.500 0.000
Nd: 0.373 0.373 0.373
Nd: 0.500 0.000 0.127
Dy: 0.000 0.613 0.500
Dy: 0.500 0.000 0.613
Dy: 0.613 0.500 0.000
Dy: 0.887 0.887 0.887
Rh: 0.092 0.842 0.250
Rh: 0.250 0.092 0.842
Rh: 0.408 0.658 0.750
Rh: 0.658 0.750 0.408
Rh: 0.750 0.408 0.658
Rh: 0.842 0.250 0.092

(7)
Density functional theory data (GGA-PBE) for a relaxed structure of NdDyRh4.

Results
Energy of formation from the pure elements in kJ per mole of atoms: -67.0
Calculated total energy in eV/atom: -7.1565

abc: 5.378 5.378 5.378
angles: 60.00 60.00 60.00
Element x y z (fractional)
Nd: 0.000 0.000 0.000
Dy: 0.750 0.750 0.750
Rh: 0.375 0.375 0.375
Rh: 0.375 0.375 0.874
Rh: 0.375 0.874 0.375
Rh: 0.874 0.375 0.375

(8)
Density functional theory data (GGA-PBE) for a relaxed structure of Nd3Dy4Rh4.

Results
Energy of formation from the pure elements in kJ per mole of atoms: -56.6
Calculated total energy in eV/atom: -6.2338

abc: 9.332 9.332 9.332
angles: 156.12 122.86 62.81
Element x y z (fractional)
Nd: 0.000 0.000 0.000
Nd: 0.399 0.899 0.500
Nd: 0.601 0.101 0.500
Dy: 0.022 0.333 0.689
Dy: 0.356 0.667 0.689
Dy: 0.644 0.333 0.311
Dy: 0.978 0.667 0.311
Rh: 0.244 0.244 0.000
Rh: 0.274 0.500 0.774
Rh: 0.726 0.500 0.226
Rh: 0.756 0.756 0.000